Tl4HgBi2: optimized geometry, PBE-GGA.

POSCAR file:
```
Tl4HgBi2
1.0
4.998 0.000 1.618
2.237 4.469 1.618
-0.846 -0.522 11.140
Tl Bi Hg
4 2 1
Direct
0.621 0.621 0.137
0.799 0.799 0.603
0.379 0.379 0.863
0.201 0.201 0.397
0.906 0.906 0.282
0.094 0.094 0.718
0.000 0.000 0.000
```

Output
The calculation puts the total DFT energy (no corrections) at -2.4658 eV/atom. As for the energy of formation: 38 meV/atom. The energy above the most stable polymorph in this dataset comes out at 0.000 eV/atom. Its space group is R-3m, No. 166.